VASP calculation (GGA-PBE) on a relaxed ZrS4N4Cl6 crystal.

Geometry as POSCAR:
```
ZrS4N4Cl6
1.0
6.9442 0.0000 0.0000
-0.3400 11.3553 0.0000
-2.8009 -4.2768 17.6162
Zr S N Cl
4 16 16 24
Cartesian
-0.9524 -1.0656 7.1770
2.8362 4.5397 1.5766
0.9672 2.5389 16.0396
4.7557 8.1442 10.4391
-1.0022 3.4293 5.4674
-0.4549 -0.1495 2.9274
-0.1676 8.2577 2.8210
-0.2466 5.8566 7.0219
2.2735 0.2237 1.8074
1.8602 2.5651 5.9088
1.2931 1.5587 11.6630
1.1049 -2.0265 14.3221
2.6984 9.1050 3.2941
2.5103 5.5199 5.9531
1.9431 4.5135 11.7074
1.5299 6.8549 15.8088
4.0499 1.2219 10.5943
3.9710 -1.1791 14.7952
4.2583 7.2281 14.6888
4.8056 3.6493 12.1488
-1.1143 4.8744 6.1016
-2.2277 -2.5841 14.7924
0.8862 0.5806 2.5163
0.3092 2.6186 5.6098
1.3792 8.3106 3.1251
1.1530 6.2283 6.3387
1.1909 3.1097 11.6376
1.0025 -3.4906 14.9275
2.8008 10.5692 2.6887
2.6125 3.9689 5.9786
2.6503 0.8503 11.2774
2.4241 -1.2320 14.4911
3.4942 4.4600 12.0064
2.9172 6.4980 15.0999
6.0310 9.6627 2.8238
4.9176 2.2042 11.5146
-1.1331 -1.2264 11.7167
-0.2565 0.7665 8.6370
-0.7724 6.7179 11.7797
0.8540 4.7023 2.9509
-0.1509 8.6358 8.8634
1.3106 10.3057 0.1253
1.8378 2.9369 0.0309
0.3741 4.5098 8.6296
1.0867 -0.9088 5.8753
1.8377 6.4903 0.1535
-0.2593 0.9122 14.6490
-0.2109 4.3233 14.8854
4.0143 2.7553 2.7308
4.0626 6.1664 2.9671
1.9657 0.5882 17.4627
2.7167 7.9873 11.7409
3.4293 2.5687 8.9866
1.9656 4.1417 17.5853
2.4927 -3.2271 17.4909
3.9543 -1.5572 8.7528
2.9494 2.3763 14.6653
4.5757 0.3607 5.8365
4.0599 6.3121 8.9792
4.9365 8.3050 5.8995
```

The size of the total moment comes out at 0.000 μB per atom. Its space-group type is P-1 (2). Its total DFT energy (no corrections) is -4.99 eV/atom.